Density functional theory data (GGA-PBE) for a relaxed structure of HoCuHg2.

Computed properties:
Magnetic moment in μB/cell: 0.20
N(E_F) in states/eV per cell: 2.35
ρ in Mg/m³: 12.5
E_tot in eV per atom: -2.471
Energy relative to the elements in kJ/mol of formula units: -59

Lattice parameters (Å, degrees): 3.4178 3.4178 7.1683 90.00 90.00 90.00
Fractional positions:
Ho 0.0000 0.0000 0.0000
Cu 0.0000 0.0000 0.5000
Hg 0.5000 0.5000 0.2851
Hg 0.5000 0.5000 0.7149



Density functional theory data (GGA-PBE) for a relaxed structure of Ho6CuHg.

Computed properties:
Magnetic moment in μB/cell: 0.00
N(E_F) in states/eV per cell: 11.40
ρ in Mg/m³: 8.4
E_tot in eV per atom: -3.889
Energy relative to the elements in kJ/mol of formula units: 73

Lattice parameters (Å, degrees): 7.0138 7.0247 7.0279 60.29 60.32 60.42
Fractional positions:
Ho 0.0402 0.2698 0.4327
Ho 0.2308 0.0674 0.9593
Ho 0.4344 0.5393 0.7691
Ho 0.5656 0.4607 0.2309
Ho 0.7692 0.9326 0.0407
Ho 0.9598 0.7302 0.5673
Cu 0.0000 0.5000 0.0000
Hg 0.5000 0.0000 0.5000



Density functional theory data (GGA-PBE) for a relaxed structure of HoCuHg2.

Computed properties:
Magnetic moment in μB/cell: 0.00
N(E_F) in states/eV per cell: 3.04
ρ in Mg/m³: 11.9
E_tot in eV per atom: -2.467
Energy relative to the elements in kJ/mol of formula units: -57

Lattice parameters (Å, degrees): 4.4245 4.4245 4.4774 90.00 90.00 90.00
Fractional positions:
Ho 0.0000 0.0000 0.0000
Cu 0.5000 0.5000 0.0000
Hg 0.0000 0.5000 0.5000
Hg 0.5000 0.0000 0.5000



Density functional theory data (GGA-PBE) for a relaxed structure of Ho4Cu2Hg.

Computed properties:
Magnetic moment in μB/cell: 0.00
Energy relative to the lowest polymorph listed for this composition in meV per atom: 34
N(E_F) in states/eV per cell: 6.21
ρ in Mg/m³: 9.6
E_tot in eV per atom: -4.008
Energy relative to the elements in kJ/mol of formula units: -120

Lattice parameters (Å, degrees): 8.4629 8.4629 8.4629 34.23 34.23 34.23
Fractional positions:
Ho 0.1173 0.1173 0.1173
Ho 0.3696 0.3696 0.3696
Ho 0.6304 0.6304 0.6304
Ho 0.8827 0.8827 0.8827
Cu 0.2487 0.2487 0.2487
Cu 0.7513 0.7513 0.7513
Hg 0.5000 0.5000 0.5000



Density functional theory data (GGA-PBE) for a relaxed structure of Ho2Cu3Hg.

Computed properties:
Magnetic moment in μB/cell: 0.00
N(E_F) in states/eV per cell: 6.64
ρ in Mg/m³: 10.1
E_tot in eV per atom: -3.888
Energy relative to the elements in kJ/mol of formula units: -153

Lattice parameters (Å, degrees): 8.8201 8.3633 5.6764 75.13 66.41 38.46
Fractional positions:
Ho 0.2429 0.7571 0.7571
Ho 0.2500 0.2500 0.2500
Ho 0.7500 0.7500 0.7500
Ho 0.7571 0.2429 0.2429
Cu 0.1597 0.1597 0.8403
Cu 0.1596 0.6783 0.3217
Cu 0.3217 0.8404 0.1596
Cu 0.6783 0.1596 0.8404
Cu 0.8404 0.3217 0.6783
Cu 0.8403 0.8403 0.1597
Hg 0.3338 0.3338 0.6662
Hg 0.6662 0.6662 0.3338



Density functional theory data (GGA-PBE) for a relaxed structure of Ho6Cu5Hg.

Computed properties:
Magnetic moment in μB/cell: 0.00
N(E_F) in states/eV per cell: 6.53
ρ in Mg/m³: 9.7
E_tot in eV per atom: -4.308
Energy relative to the elements in kJ/mol of formula units: -333

Lattice parameters (Å, degrees): 7.8154 7.8154 7.0041 90.00 90.00 143.04
Fractional positions:
Ho 0.0000 0.0000 0.2387
Ho 0.0000 0.0000 0.7613
Ho 0.3289 0.6711 0.2449
Ho 0.3289 0.6711 0.7551
Ho 0.6711 0.3289 0.2449
Ho 0.6711 0.3289 0.7551
Cu 0.1647 0.8353 0.0000
Cu 0.1652 0.8348 0.5000
Cu 0.5000 0.5000 0.0000
Cu 0.8353 0.1647 0.0000
Cu 0.8348 0.1652 0.5000
Hg 0.5000 0.5000 0.5000



Density functional theory data (GGA-PBE) for a relaxed structure of Ho3CuHg.

Computed properties:
Magnetic moment in μB/cell: 0.00
N(E_F) in states/eV per cell: 10.63
ρ in Mg/m³: 9.2
E_tot in eV per atom: -3.733
Energy relative to the elements in kJ/mol of formula units: -51

Lattice parameters (Å, degrees): 3.7462 8.9409 8.9409 65.94 90.00 90.00
Fractional positions:
Ho 0.0000 0.0000 0.0000
Ho 0.0000 0.3360 0.3360
Ho 0.5000 0.3542 0.7498
Ho 0.5000 0.5853 0.9806
Ho 0.5000 0.7498 0.3542
Ho 0.5000 0.9806 0.5853
Cu 0.0000 0.1671 0.6679
Cu 0.0000 0.6679 0.1671
Hg 0.0000 0.6675 0.6675
Hg 0.5000 0.1679 0.1679



Density functional theory data (GGA-PBE) for a relaxed structure of HoCuHg.

Computed properties:
Magnetic moment in μB/cell: 0.00
N(E_F) in states/eV per cell: 13.36
ρ in Mg/m³: 10.4
E_tot in eV per atom: -3.197
Energy relative to the elements in kJ/mol of formula units: -59

Lattice parameters (Å, degrees): 6.4962 6.4962 6.4962 90.00 90.00 90.00
Fractional positions:
Ho 0.0000 0.0000 0.0000
Ho 0.0000 0.5000 0.5000
Ho 0.5000 0.0000 0.5000
Ho 0.5000 0.5000 0.0000
Cu 0.2500 0.2500 0.2500
Cu 0.2500 0.7500 0.7500
Cu 0.7500 0.2500 0.7500
Cu 0.7500 0.7500 0.2500
Hg 0.0000 0.0000 0.5000
Hg 0.0000 0.5000 0.0000
Hg 0.5000 0.0000 0.0000
Hg 0.5000 0.5000 0.5000



Density functional theory data (GGA-PBE) for a relaxed structure of Ho12Cu6Hg.

Computed properties:
Magnetic moment in μB/cell: 0.00
N(E_F) in states/eV per cell: 11.06
ρ in Mg/m³: 9.1
E_tot in eV per atom: -4.404
Energy relative to the elements in kJ/mol of formula units: -374

Lattice parameters (Å, degrees): 8.4574 8.4574 8.4574 109.47 109.47 109.47
Fractional positions:
Ho 0.1054 0.2943 0.8111
Ho 0.1889 0.4832 0.2943
Ho 0.1889 0.8946 0.7057
Ho 0.2943 0.1889 0.4832
Ho 0.2943 0.8111 0.1054
Ho 0.4832 0.2943 0.1889
Ho 0.5168 0.7057 0.8111
Ho 0.7057 0.1889 0.8946
Ho 0.7057 0.8111 0.5168
Ho 0.8111 0.1054 0.2943
Ho 0.8111 0.5168 0.7057
Ho 0.8946 0.7057 0.1889
Cu 0.1247 0.5000 0.6247
Cu 0.3753 0.8753 0.5000
Cu 0.5000 0.3753 0.8753
Cu 0.5000 0.6247 0.1247
Cu 0.6247 0.1247 0.5000
Cu 0.8753 0.5000 0.3753
Hg 0.0000 0.0000 0.0000



Density functional theory data (GGA-PBE) for a relaxed structure of Ho3CuHg2.

Computed properties:
Magnetic moment in μB/cell: 0.00
N(E_F) in states/eV per cell: 3.86
ρ in Mg/m³: 11.1
E_tot in eV per atom: -3.471
Energy relative to the elements in kJ/mol of formula units: -231

Lattice parameters (Å, degrees): 3.5795 3.5795 11.1787 90.00 90.00 90.00
Fractional positions:
Ho 0.0000 0.0000 0.0000
Ho 0.0000 0.0000 0.3517
Ho 0.0000 0.0000 0.6483
Cu 0.5000 0.5000 0.5000
Hg 0.5000 0.5000 0.1743
Hg 0.5000 0.5000 0.8257



Density functional theory data (GGA-PBE) for a relaxed structure of HoCu2Hg.

Computed properties:
Magnetic moment in μB/cell: 0.00
N(E_F) in states/eV per cell: 18.43
ρ in Mg/m³: 11.3
E_tot in eV per atom: -3.463
Energy relative to the elements in kJ/mol of formula units: -75

Lattice parameters (Å, degrees): 6.6150 6.6150 6.6150 90.00 90.00 90.00
Fractional positions:
Ho 0.0000 0.0000 0.0000
Ho 0.0000 0.5000 0.5000
Ho 0.5000 0.0000 0.5000
Ho 0.5000 0.5000 0.0000
Cu 0.2500 0.2500 0.2500
Cu 0.2500 0.2500 0.7500
Cu 0.2500 0.7500 0.2500
Cu 0.2500 0.7500 0.7500
Cu 0.7500 0.2500 0.2500
Cu 0.7500 0.2500 0.7500
Cu 0.7500 0.7500 0.2500
Cu 0.7500 0.7500 0.7500
Hg 0.0000 0.0000 0.5000
Hg 0.0000 0.5000 0.0000
Hg 0.5000 0.0000 0.0000
Hg 0.5000 0.5000 0.5000



Density functional theory data (GGA-PBE) for a relaxed structure of Ho5CuHg4.

Computed properties:
Magnetic moment in μB/cell: 0.00
N(E_F) in states/eV per cell: 7.90
ρ in Mg/m³: 11.4
E_tot in eV per atom: -3.246
Energy relative to the elements in kJ/mol of formula units: -412

Lattice parameters (Å, degrees): 3.6294 3.6294 18.6428 90.00 90.00 90.00
Fractional positions:
Ho 0.0000 0.0000 0.0000
Ho 0.0000 0.0000 0.2054
Ho 0.0000 0.0000 0.4114
Ho 0.0000 0.0000 0.5886
Ho 0.0000 0.0000 0.7946
Cu 0.5000 0.5000 0.5000
Hg 0.5000 0.5000 0.1020
Hg 0.5000 0.5000 0.3072
Hg 0.5000 0.5000 0.6928
Hg 0.5000 0.5000 0.8980